# NaZnHgF6 GGA-PBE relaxed
data_NaZnHgF6
_cell_length_a 5.7026
_cell_length_b 5.7026
_cell_length_c 9.4680
_cell_angle_alpha 90.00
_cell_angle_beta 90.00
_cell_angle_gamma 120.00
_space_group_name_H-M_alt 'P 1'
_space_group_IT_number 1
loop_
_space_group_symop_operation_xyz
'x,y,z'
loop_
_atom_site_label
_atom_site_fract_x
_atom_site_fract_y
_atom_site_fract_z
Na1 0.0000 0.0000 0.0000
Na2 0.0000 0.0000 0.5000
Zn1 0.6667 0.3333 0.2500
Zn2 0.3333 0.6667 0.7500
Hg1 0.3333 0.6667 0.2500
Hg2 0.6667 0.3333 0.7500
F1 0.6584 0.6321 0.1344
F2 0.9737 0.3416 0.1344
F3 0.3416 0.9737 0.6344
F4 0.0263 0.6584 0.8656
F5 0.3679 0.3416 0.3656
F6 0.9737 0.6321 0.3656
F7 0.6321 0.9737 0.8656
F8 0.6584 0.0263 0.3656
F9 0.0263 0.3679 0.6344
F10 0.3679 0.0263 0.1344
F11 0.6321 0.6584 0.6344
F12 0.3416 0.3679 0.8656
# Mass density = 5.019 Mg/m³
# Symmetry = P-31c (163)
# Uncorrected formation energy = -1.870 eV per atom
# Magnetic moment = 2.1 μB/cell